1.
Crystalline Pr2NpPbO8 at its relaxed geometry. Source: Alexandria, functional PBE-GGA.

```
data_Pr2NpPbO8
_chemical_formula_sum 'Pr2 Np1 Pb1 O8'
_cell_length_a 4.036
_cell_length_b 5.531
_cell_length_c 7.840
_cell_angle_alpha 89.91
_cell_angle_beta 89.98
_cell_angle_gamma 84.49
_symmetry_space_group_name_H-M 'P 1'
_symmetry_Int_Tables_number 1
loop_
_symmetry_equiv_pos_as_xyz
'x,y,z'
loop_
_atom_site_label
_atom_site_type_symbol
_atom_site_fract_x
_atom_site_fract_y
_atom_site_fract_z
_atom_site_occupancy
Pr1 Pr 0.000 0.000 0.247 1
Pr2 Pr 0.000 0.000 0.753 1
Np1 Np 0.500 0.500 0.000 1
Pb1 Pb 0.500 0.500 0.500 1
O1 O 0.030 0.748 0.501 1
O2 O 0.061 0.719 0.000 1
O3 O 0.458 0.266 0.209 1
O4 O 0.459 0.267 0.790 1
O5 O 0.541 0.733 0.210 1
O6 O 0.542 0.734 0.791 1
O7 O 0.939 0.281 0.000 1
O8 O 0.970 0.252 0.499 1
```

Computed properties:
- symmetry = P-1 (2)
- D(E_F) (states/eV per cell) = 2.6
- raw formation energy (meV per atom) = -2526
- calculated total energy (eV/atom) = -8.02
- spin magnetization (μB per formula unit) = 0.124

***

2.
Crystalline PrNpPbO6 at its relaxed geometry. Source: Alexandria, functional PBE-GGA.

```
data_PrNpPbO6
_chemical_formula_sum 'Pr2 Np2 Pb2 O12'
_cell_length_a 6.062
_cell_length_b 6.062
_cell_length_c 9.792
_cell_angle_alpha 90.00
_cell_angle_beta 90.00
_cell_angle_gamma 120.00
_symmetry_space_group_name_H-M 'P 1'
_symmetry_Int_Tables_number 1
loop_
_symmetry_equiv_pos_as_xyz
'x,y,z'
loop_
_atom_site_label
_atom_site_type_symbol
_atom_site_fract_x
_atom_site_fract_y
_atom_site_fract_z
_atom_site_occupancy
Pr1 Pr 0.333 0.667 0.250 1
Pr2 Pr 0.667 0.333 0.750 1
Np1 Np 0.333 0.667 0.750 1
Np2 Np 0.667 0.333 0.250 1
Pb1 Pb 0.000 0.000 0.000 1
Pb2 Pb 0.000 0.000 0.500 1
O1 O 0.044 0.388 0.640 1
O2 O 0.044 0.657 0.860 1
O3 O 0.343 0.388 0.860 1
O4 O 0.343 0.956 0.640 1
O5 O 0.388 0.044 0.140 1
O6 O 0.388 0.343 0.360 1
O7 O 0.612 0.657 0.640 1
O8 O 0.612 0.956 0.860 1
O9 O 0.657 0.044 0.360 1
O10 O 0.657 0.612 0.140 1
O11 O 0.956 0.343 0.140 1
O12 O 0.956 0.612 0.360 1
```

Computed properties:
- symmetry = P-31c (163)
- raw formation energy (meV per atom) = -2464
- calculated total energy (eV/atom) = -8.15
- spin magnetization (μB per formula unit) = 0.000

***

3.
Crystalline NpPtPb2O8 at its relaxed geometry. Source: Alexandria, functional PBE-GGA.

```
data_NpPtPb2O8
_chemical_formula_sum 'Np1 Pt1 Pb2 O8'
_cell_length_a 5.199
_cell_length_b 6.609
_cell_length_c 5.207
_cell_angle_alpha 90.00
_cell_angle_beta 91.96
_cell_angle_gamma 90.00
_symmetry_space_group_name_H-M 'P 1'
_symmetry_Int_Tables_number 1
loop_
_symmetry_equiv_pos_as_xyz
'x,y,z'
loop_
_atom_site_label
_atom_site_type_symbol
_atom_site_fract_x
_atom_site_fract_y
_atom_site_fract_z
_atom_site_occupancy
Np1 Np 0.000 0.000 0.000 1
Pt1 Pt 0.000 0.500 0.000 1
Pb1 Pb 0.500 0.261 0.500 1
Pb2 Pb 0.500 0.739 0.500 1
O1 O 0.174 0.251 0.828 1
O2 O 0.174 0.749 0.828 1
O3 O 0.281 0.500 0.283 1
O4 O 0.292 0.000 0.294 1
O5 O 0.708 0.000 0.706 1
O6 O 0.719 0.500 0.717 1
O7 O 0.826 0.251 0.172 1
O8 O 0.826 0.749 0.172 1
```

Computed properties:
- symmetry = P2/m (10)
- D(E_F) (states/eV per cell) = 3.8
- raw formation energy (meV per atom) = -1353
- calculated total energy (eV/atom) = -6.86
- spin magnetization (μB per formula unit) = 1.268

***

4.
Crystalline RbNpPb2O6 at its relaxed geometry. Source: Alexandria, functional PBE-GGA.

```
data_RbNpPb2O6
_chemical_formula_sum 'Rb1 Np1 Pb2 O6'
_cell_length_a 6.075
_cell_length_b 6.386
_cell_length_c 6.722
_cell_angle_alpha 65.13
_cell_angle_beta 63.69
_cell_angle_gamma 63.47
_symmetry_space_group_name_H-M 'P 1'
_symmetry_Int_Tables_number 1
loop_
_symmetry_equiv_pos_as_xyz
'x,y,z'
loop_
_atom_site_label
_atom_site_type_symbol
_atom_site_fract_x
_atom_site_fract_y
_atom_site_fract_z
_atom_site_occupancy
Rb1 Rb 0.000 0.000 0.000 1
Np1 Np 0.483 0.559 0.475 1
Pb1 Pb 0.230 0.201 0.326 1
Pb2 Pb 0.806 0.676 0.722 1
O1 O 0.153 0.841 0.601 1
O2 O 0.190 0.376 0.586 1
O3 O 0.427 0.723 0.183 1
O4 O 0.544 0.403 0.767 1
O5 O 0.688 0.785 0.406 1
O6 O 0.807 0.315 0.327 1
```

Computed properties:
- symmetry = P1 (1)
- raw formation energy (meV per atom) = -1891
- calculated total energy (eV/atom) = -7.00
- spin magnetization (μB per formula unit) = 0.000

***

5.
Crystalline Rb2NpPbO6 at its relaxed geometry. Source: Alexandria, functional PBE-GGA.

```
data_Rb2NpPbO6
_chemical_formula_sum 'Rb2 Np1 Pb1 O6'
_cell_length_a 6.252
_cell_length_b 6.252
_cell_length_c 6.252
_cell_angle_alpha 60.00
_cell_angle_beta 60.00
_cell_angle_gamma 60.00
_symmetry_space_group_name_H-M 'P 1'
_symmetry_Int_Tables_number 1
loop_
_symmetry_equiv_pos_as_xyz
'x,y,z'
loop_
_atom_site_label
_atom_site_type_symbol
_atom_site_fract_x
_atom_site_fract_y
_atom_site_fract_z
_atom_site_occupancy
Rb1 Rb 0.250 0.250 0.250 1
Rb2 Rb 0.750 0.750 0.750 1
Np1 Np 0.000 0.000 0.000 1
Pb1 Pb 0.500 0.500 0.500 1
O1 O 0.229 0.229 0.771 1
O2 O 0.229 0.771 0.229 1
O3 O 0.229 0.771 0.771 1
O4 O 0.771 0.229 0.229 1
O5 O 0.771 0.229 0.771 1
O6 O 0.771 0.771 0.229 1
```

Computed properties:
- symmetry = Fm-3m (225)
- D(E_F) (states/eV per cell) = 5.7
- raw formation energy (meV per atom) = -1960
- calculated total energy (eV/atom) = -6.79
- spin magnetization (μB per formula unit) = 0.000

***

6.
Crystalline Rb2Np2PbO7 at its relaxed geometry. Source: Alexandria, functional PBE-GGA.

```
data_Rb2Np2PbO7
_chemical_formula_sum 'Rb2 Np2 Pb1 O7'
_cell_length_a 11.782
_cell_length_b 11.782
_cell_length_c 11.782
_cell_angle_alpha 158.62
_cell_angle_beta 158.62
_cell_angle_gamma 30.42
_symmetry_space_group_name_H-M 'P 1'
_symmetry_Int_Tables_number 1
loop_
_symmetry_equiv_pos_as_xyz
'x,y,z'
loop_
_atom_site_label
_atom_site_type_symbol
_atom_site_fract_x
_atom_site_fract_y
_atom_site_fract_z
_atom_site_occupancy
Rb1 Rb 0.191 0.191 0.000 1
Rb2 Rb 0.809 0.809 0.000 1
Np1 Np 0.406 0.406 0.000 1
Np2 Np 0.594 0.594 0.000 1
Pb1 Pb 0.000 0.000 0.000 1
O1 O 0.086 0.586 0.500 1
O2 O 0.319 0.319 0.000 1
O3 O 0.414 0.914 0.500 1
O4 O 0.500 0.500 0.000 1
O5 O 0.586 0.086 0.500 1
O6 O 0.681 0.681 0.000 1
O7 O 0.914 0.414 0.500 1
```

Computed properties:
- symmetry = I4/mmm (139)
- D(E_F) (states/eV per cell) = 8.7
- raw formation energy (meV per atom) = -2348
- calculated total energy (eV/atom) = -7.87
- spin magnetization (μB per formula unit) = 4.000

***

7.
Crystalline RbNp2Pb2O7 at its relaxed geometry. Source: Alexandria, functional PBE-GGA.

```
data_RbNp2Pb2O7
_chemical_formula_sum 'Rb1 Np2 Pb2 O7'
_cell_length_a 13.034
_cell_length_b 13.034
_cell_length_c 13.034
_cell_angle_alpha 161.38
_cell_angle_beta 161.01
_cell_angle_gamma 26.72
_symmetry_space_group_name_H-M 'P 1'
_symmetry_Int_Tables_number 1
loop_
_symmetry_equiv_pos_as_xyz
'x,y,z'
loop_
_atom_site_label
_atom_site_type_symbol
_atom_site_fract_x
_atom_site_fract_y
_atom_site_fract_z
_atom_site_occupancy
Rb1 Rb 0.000 0.000 0.000 1
Np1 Np 0.414 0.414 0.000 1
Np2 Np 0.586 0.586 0.000 1
Pb1 Pb 0.208 0.708 0.500 1
Pb2 Pb 0.792 0.292 0.500 1
O1 O 0.089 0.589 0.500 1
O2 O 0.332 0.332 0.000 1
O3 O 0.418 0.918 0.500 1
O4 O 0.500 0.500 0.000 1
O5 O 0.582 0.082 0.500 1
O6 O 0.668 0.668 0.000 1
O7 O 0.911 0.411 0.500 1
```

Computed properties:
- symmetry = Immm (71)
- D(E_F) (states/eV per cell) = 7.9
- raw formation energy (meV per atom) = -2130
- calculated total energy (eV/atom) = -7.88
- spin magnetization (μB per formula unit) = 3.490

***

8.
Crystalline Rb3Np2PbO9 at its relaxed geometry. Source: Alexandria, functional PBE-GGA.

```
data_Rb3Np2PbO9
_chemical_formula_sum 'Rb3 Np2 Pb1 O9'
_cell_length_a 6.256
_cell_length_b 6.256
_cell_length_c 7.731
_cell_angle_alpha 90.00
_cell_angle_beta 90.00
_cell_angle_gamma 120.00
_symmetry_space_group_name_H-M 'P 1'
_symmetry_Int_Tables_number 1
loop_
_symmetry_equiv_pos_as_xyz
'x,y,z'
loop_
_atom_site_label
_atom_site_type_symbol
_atom_site_fract_x
_atom_site_fract_y
_atom_site_fract_z
_atom_site_occupancy
Rb1 Rb 0.000 0.000 0.000 1
Rb2 Rb 0.333 0.667 0.657 1
Rb3 Rb 0.667 0.333 0.343 1
Np1 Np 0.333 0.667 0.155 1
Np2 Np 0.667 0.333 0.845 1
Pb1 Pb 0.000 0.000 0.500 1
O1 O 0.000 0.500 0.000 1
O2 O 0.184 0.368 0.304 1
O3 O 0.184 0.816 0.304 1
O4 O 0.368 0.184 0.696 1
O5 O 0.500 0.000 0.000 1
O6 O 0.500 0.500 0.000 1
O7 O 0.632 0.816 0.304 1
O8 O 0.816 0.184 0.696 1
O9 O 0.816 0.632 0.696 1
```

Computed properties:
- symmetry = P-3m1 (164)
- D(E_F) (states/eV per cell) = 7.0
- raw formation energy (meV per atom) = -2270
- calculated total energy (eV/atom) = -7.41
- spin magnetization (μB per formula unit) = 1.000